Computed, not measured: an optimized crystal structure of MnNb2PtO at the PBE+U level of DFT.

Cell and atoms, written as CIF:
```
data_MnNb2PtO
_symmetry_space_group_name_H-M 'P 1'
_symmetry_Int_Tables_number 1
_cell_length_a 4.932
_cell_length_b 4.932
_cell_length_c 4.926
_cell_angle_alpha 90.00
_cell_angle_beta 90.00
_cell_angle_gamma 90.00
loop_
_symmetry_equiv_pos_as_xyz
'x,y,z'
loop_
_atom_site_label
_atom_site_type_symbol
_atom_site_fract_x
_atom_site_fract_y
_atom_site_fract_z
_atom_site_occupancy
Mn1 Mn 0.000 0.000 0.000 1
Nb1 Nb 0.000 0.500 0.500 1
Nb2 Nb 0.500 0.000 0.500 1
Pt1 Pt 0.000 0.000 0.500 1
O1 O 0.500 0.500 0.000 1
```

Properties
SG   No. 123
VASP energy   -6.5013 eV per atom
Fermi-level density of states   3.4 states/eV per cell